Material: CrIn2GaS6
Method: DFT, PBE-GGA
State: relaxed

Unit cell a=8.2723 b=8.2723 c=6.4276 alpha=97.15 beta=97.15 gamma=84.77
Fractional coordinates of all 20 atoms:
1 Cr 0.0835 0.9165 0.7500
2 Cr 0.9165 0.0835 0.2500
3 In 0.2175 0.4158 0.7082
4 In 0.4158 0.2175 0.2082
5 In 0.5842 0.7825 0.7918
6 In 0.7825 0.5842 0.2918
7 Ga 0.2520 0.7480 0.2500
8 Ga 0.7480 0.2520 0.7500
9 S 0.0221 0.1835 0.6106
10 S 0.1053 0.6649 0.9082
11 S 0.1835 0.0221 0.1106
12 S 0.2651 0.4701 0.3538
13 S 0.3351 0.8947 0.5918
14 S 0.4701 0.2651 0.8538
15 S 0.5299 0.7349 0.1462
16 S 0.6649 0.1053 0.4082
17 S 0.7349 0.5299 0.6462
18 S 0.8165 0.9779 0.8894
19 S 0.8947 0.3351 0.0918
20 S 0.9779 0.8165 0.3894

Calculated values
**Volume**: 216 Å³/f.u.
**Electronic total energy**: -4.81 eV per atom
**Magnetization**: 0.298 μB/atom
**SG**: No. 15
**E_form (uncorrected)**: -50.7 kJ/mol of atoms